PaCo2HgO8: optimized geometry, GGA+U.

CIF file:
```
data_PaCo2HgO8
_cell_length_a 6.0028
_cell_length_b 6.0028
_cell_length_c 6.0028
_cell_angle_alpha 107.34
_cell_angle_beta 107.34
_cell_angle_gamma 113.82
_symmetry_space_group_name_H-M 'P 1'
_symmetry_Int_Tables_number 1
loop_
_symmetry_equiv_pos_as_xyz
'x,y,z'
loop_
_atom_site_label
_atom_site_fract_x
_atom_site_fract_y
_atom_site_fract_z
_atom_site_occupancy
O1 0.7770 0.0792 0.6978 1
O2 0.3138 0.4851 0.1713 1
O3 0.8575 0.6862 0.1713 1
O4 0.3815 0.0792 0.3022 1
O5 0.5149 0.6862 0.8287 1
O6 0.3138 0.1425 0.8287 1
O7 0.9208 0.2230 0.3022 1
O8 0.9208 0.6185 0.6978 1
Co1 0.5000 0.5000 0.0000 1
Co2 0.7500 0.2500 0.5000 1
Hg1 0.2500 0.7500 0.5000 1
Pa1 0.0000 0.0000 0.0000 1
```

Summary:
The calculation puts the total energy at -6.227 eV per atom. The crystal system is tetragonal. For the total magnetization, the calculation gives 7.0 μB per formula unit.